Mg2CrIr after structural relaxation, computed with GGA-PBE.

Geometry as extended XYZ:
```
4
Lattice="-0.5373 -4.0579 -1.1434 1.7925 0.3785 -2.1855 4.7708 -1.2666 2.2530" Properties=species:S:1:pos:R:3 pbc="T T T"
Mg 6.4282 -0.8720 0.0736
Cr 3.5788 -0.4473 -0.0944
Ir 4.3492 -2.6946 -0.3793
Mg 1.5149 -2.2643 -0.5747
```

volume	16.097	Å³ per atom
total magnetization	0.00	μB per formula unit
energy of formation	10	kJ per mole of atoms
D(E_F)	2.4	states/eV/f.u.
calculated total energy	-5.319	eV/atom

=====

Mg3CrIr after structural relaxation, computed with GGA-PBE.

Geometry as extended XYZ:
```
5
Lattice="4.9416 0.0000 0.0000 0.0000 4.9416 0.0000 0.0000 0.0000 4.9416" Properties=species:S:1:pos:R:3 pbc="T T T"
Mg 2.4708 0.0000 0.0000
Ir 0.0000 0.0000 0.0000
Cr 2.4708 2.4708 2.4708
Mg 0.0000 2.4708 0.0000
Mg 0.0000 0.0000 2.4708
```

volume	24.135	Å³ per atom
total magnetization	4.87	μB per formula unit
energy of formation	40	kJ per mole of atoms
D(E_F)	1.9	states/eV/f.u.
calculated total energy	-4.241	eV/atom

=====

Mg2CrIr after structural relaxation, computed with GGA-PBE.

Geometry as extended XYZ:
```
4
Lattice="-0.4160 -8.9911 1.9710 1.3474 -8.1445 4.0926 -1.5118 -7.9394 4.4247" Properties=species:S:1:pos:R:3 pbc="T T T"
Cr -0.1451 -6.2687 2.6221
Mg -0.0023 -0.1013 0.0424
Mg -0.2879 -12.4361 5.2017
Ir -0.4353 -18.8062 7.8662
```

volume	16.339	Å³ per atom
total magnetization	2.69	μB per formula unit
energy of formation	22	kJ per mole of atoms
D(E_F)	4.5	states/eV/f.u.
calculated total energy	-5.191	eV/atom

=====

MgCr2Ir after structural relaxation, computed with GGA-PBE.

Geometry as extended XYZ:
```
4
Lattice="3.0110 0.0000 0.0000 0.0000 3.0110 0.0000 0.0000 0.0000 6.2651" Properties=species:S:1:pos:R:3 pbc="T T T"
Cr 0.0000 0.0000 0.2532
Cr 1.5055 1.5055 1.4364
Ir 0.0000 0.0000 3.0421
Mg 1.5055 1.5055 4.6659
```

volume	14.200	Å³ per atom
total magnetization	0.78	μB per formula unit
energy of formation	4	kJ per mole of atoms
D(E_F)	2.7	states/eV/f.u.
calculated total energy	-7.389	eV/atom

=====

MgCr2Ir after structural relaxation, computed with GGA-PBE.

Geometry as extended XYZ:
```
4
Lattice="-4.6190 -0.8781 -1.5078 2.7736 -3.7744 1.5622 -1.1064 -0.2910 2.3896" Properties=species:S:1:pos:R:3 pbc="T T T"
Cr 0.0000 0.0000 0.0000
Cr -0.9227 -2.3262 0.0272
Ir -2.8627 -0.5845 0.4409
Mg 0.8336 -2.0327 1.9759
```

volume	13.603	Å³ per atom
total magnetization	0.00	μB per formula unit
energy of formation	22	kJ per mole of atoms
D(E_F)	4.2	states/eV/f.u.
calculated total energy	-7.201	eV/atom

=====

Mg2CrIr after structural relaxation, computed with GGA-PBE.

Geometry as extended XYZ:
```
4
Lattice="-1.0205 -1.8761 1.7138 -0.9768 -0.2974 -2.5408 6.7467 -5.4558 -1.9551" Properties=species:S:1:pos:R:3 pbc="T T T"
Cr 0.6881 -2.4507 -0.9023
Ir 4.0614 -5.1786 -1.8798
Mg 3.4097 -2.7573 -0.9881
Mg 6.7104 -5.4264 -1.9445
```

volume	15.466	Å³ per atom
total magnetization	0.81	μB per formula unit
energy of formation	24	kJ per mole of atoms
D(E_F)	3.8	states/eV/f.u.
calculated total energy	-5.172	eV/atom

=====

MgCrIr2 after structural relaxation, computed with GGA-PBE.

Geometry as extended XYZ:
```
4
Lattice="-8.1759 -2.9177 1.1770 -6.7754 -5.1841 1.9906 -7.2524 -3.1184 3.7975" Properties=species:S:1:pos:R:3 pbc="T T T"
Cr -16.6527 -8.4151 5.2238
Ir -10.9711 -5.5440 3.4415
Ir -0.1308 -0.0661 0.0410
Mg -5.5509 -2.8050 1.7413
```

volume	14.468	Å³ per atom
total magnetization	0.00	μB per formula unit
energy of formation	-11	kJ per mole of atoms
D(E_F)	6.0	states/eV/f.u.
calculated total energy	-7.344	eV/atom

=====

MgCrIr2 after structural relaxation, computed with GGA-PBE.

Geometry as extended XYZ:
```
4
Lattice="-4.6364 -0.6670 1.3241 -0.6003 -0.3332 4.8190 2.2775 3.1492 -2.9309" Properties=species:S:1:pos:R:3 pbc="T T T"
Cr -2.4887 0.9911 0.7324
Mg -2.6184 -0.5001 3.0716
Ir 0.0000 0.0000 0.0000
Ir -0.4706 1.1580 2.4799
```

volume	14.547	Å³ per atom
total magnetization	2.19	μB per formula unit
energy of formation	-8	kJ per mole of atoms
D(E_F)	3.1	states/eV/f.u.
calculated total energy	-7.315	eV/atom

=====

MgCrIr2 after structural relaxation, computed with GGA-PBE.

Geometry as extended XYZ:
```
4
Lattice="-2.8769 -0.9467 -0.1222 0.1499 -0.8315 2.9109 -1.9723 5.7678 1.7491" Properties=species:S:1:pos:R:3 pbc="T T T"
Ir -1.8708 0.5947 1.8443
Cr -2.8914 3.5792 2.7494
Mg -0.9867 2.8856 0.8751
Ir -1.9087 5.5819 1.6928
```

volume	14.566	Å³ per atom
total magnetization	0.00	μB per formula unit
energy of formation	14	kJ per mole of atoms
D(E_F)	3.9	states/eV/f.u.
calculated total energy	-7.087	eV/atom

=====

Mg4CrIr after structural relaxation, computed with GGA-PBE.

Geometry as extended XYZ:
```
6
Lattice="0.0000 3.7860 3.7860 3.7860 0.0000 3.7860 3.7860 3.7860 0.0000" Properties=species:S:1:pos:R:3 pbc="T T T"
Cr 5.6791 5.6791 5.6791
Mg 4.7365 4.7365 2.8356
Ir 0.0000 0.0000 0.0000
Mg 2.8356 2.8356 2.8356
Mg 2.8356 4.7365 4.7365
Mg 4.7365 2.8356 4.7365
```

volume	18.090	Å³ per atom
total magnetization	3.78	μB per formula unit
energy of formation	38	kJ per mole of atoms
D(E_F)	3.5	states/eV/f.u.
calculated total energy	-3.747	eV/atom

=====

Mg2CrIr after structural relaxation, computed with GGA-PBE.

Geometry as extended XYZ:
```
4
Lattice="-2.7659 2.4928 2.5455 -2.7313 3.0242 -1.9334 -4.4490 -0.7321 -0.1212" Properties=species:S:1:pos:R:3 pbc="T T T"
Cr 0.0000 0.0000 0.0000
Mg -7.4597 3.5888 0.3681
Mg -2.4866 1.1963 0.1227
Ir -4.9731 2.3925 0.2454
```

volume	16.221	Å³ per atom
total magnetization	4.33	μB per formula unit
energy of formation	-2	kJ per mole of atoms
D(E_F)	2.3	states/eV/f.u.
calculated total energy	-5.434	eV/atom

=====

Mg2CrIr after structural relaxation, computed with GGA-PBE.

Geometry as extended XYZ:
```
4
Lattice="4.0489 0.0000 0.0000 0.0000 4.0200 0.0000 0.0000 0.0000 4.0200" Properties=species:S:1:pos:R:3 pbc="T T T"
Mg 0.0000 2.0100 2.0100
Ir 2.0244 0.0000 2.0100
Cr 2.0244 2.0100 0.0000
Mg 0.0000 0.0000 0.0000
```

volume	16.358	Å³ per atom
total magnetization	3.92	μB per formula unit
energy of formation	2	kJ per mole of atoms
D(E_F)	1.9	states/eV/f.u.
calculated total energy	-5.394	eV/atom

=====

Q: Number 8 is which compound?
A: MgCrIr2

=====

Repeat the first record exactly.
Mg2CrIr after structural relaxation, computed with GGA-PBE.

Geometry as extended XYZ:
```
4
Lattice="-0.5373 -4.0579 -1.1434 1.7925 0.3785 -2.1855 4.7708 -1.2666 2.2530" Properties=species:S:1:pos:R:3 pbc="T T T"
Mg 6.4282 -0.8720 0.0736
Cr 3.5788 -0.4473 -0.0944
Ir 4.3492 -2.6946 -0.3793
Mg 1.5149 -2.2643 -0.5747
```

volume	16.097	Å³ per atom
total magnetization	0.00	μB per formula unit
energy of formation	10	kJ per mole of atoms
D(E_F)	2.4	states/eV/f.u.
calculated total energy	-5.319	eV/atom

=====

Q: What is the formula in the second record?
A: Mg3CrIr

=====

Q: The highest calculated total energy belongs to which entry?
A: Mg4CrIr